Record 1
! LaZr2Mo | Alexandria | GGA-PBE | relaxed; values from VASP
&SYSTEM
  ibrav = 0, nat = 4, ntyp = 3
/
ATOMIC_SPECIES
La 138.91 La.upf
Mo 95.94 Mo.upf
Zr 91.22 Zr.upf
CELL_PARAMETERS angstrom
-2.5591 -3.6850 2.3027
2.4621 -3.9583 1.9238
0.3463 -0.5674 4.9989
ATOMIC_POSITIONS angstrom
La 0.1247 -4.1053 4.6127
Mo 0.0623 -2.0527 2.3064
Zr 0.0000 0.0000 0.0000
Zr 0.1870 -6.1580 6.9191
! Energy of formation from the pure elements (kJ/mol of formula units): 144

Record 2
! Sm3Th2PaN6 | Alexandria | GGA-PBE | relaxed; values from VASP
&SYSTEM
  ibrav = 0, nat = 12, ntyp = 4
/
ATOMIC_SPECIES
Sm 150.36 Sm.upf
Th 232.04 Th.upf
Pa 231.04 Pa.upf
N 14.01 N.upf
CELL_PARAMETERS angstrom
-0.3242 0.3948 6.2304
3.6188 -4.3388 -2.6756
3.3975 5.0665 -1.1887
ATOMIC_POSITIONS angstrom
Sm 4.6640 -1.0210 -1.7939
Sm 2.0280 2.1436 4.1600
Sm 3.3460 0.5613 1.1831
Th 2.3041 -2.7605 0.2939
Th 0.9904 -1.1835 3.2609
Pa 0.0000 0.0000 0.0000
N 4.4995 1.6252 3.2138
N 3.3003 -1.8184 2.4276
N 2.1926 -0.5026 -0.8476
N 5.7485 0.1258 0.3927
N 3.3917 2.9409 -0.0615
N 0.9436 0.9968 1.9734
! Formation energy (no corrections) (eV per atom): -1.576

Record 3
! Ga2Hg2Pd7 | Alexandria | GGA-PBE | relaxed; values from VASP
&SYSTEM
  ibrav = 0, nat = 11, ntyp = 3
/
ATOMIC_SPECIES
Ga 69.72 Ga.upf
Hg 200.59 Hg.upf
Pd 106.42 Pd.upf
CELL_PARAMETERS angstrom
5.9436 -0.0059 -0.2523
-0.0004 5.8561 0.0054
-0.6221 0.0010 5.9163
ATOMIC_POSITIONS angstrom
Ga 4.0812 -0.0019 1.4975
Ga 1.2399 5.8531 4.1720
Hg 4.3564 2.9241 4.6398
Hg 0.9646 2.9272 1.0297
Pd -0.3109 1.4764 2.9619
Pd 2.9738 4.3772 -0.1217
Pd 5.6319 4.3748 2.7076
Pd 2.3472 1.4740 5.7912
Pd 0.0000 0.0000 0.0000
Pd 2.6601 4.3121 2.8364
Pd 2.6610 1.5391 2.8331
! Energy of formation from the pure elements (kJ/mol of formula units): -195

Record 4
! K2IrPd2O6 | Alexandria | GGA-PBE | relaxed; values from VASP
&SYSTEM
  ibrav = 0, nat = 11, ntyp = 4
/
ATOMIC_SPECIES
K 39.10 K.upf
Ir 192.22 Ir.upf
Pd 106.42 Pd.upf
O 16.00 O.upf
CELL_PARAMETERS angstrom
5.5238 0.1210 0.0464
-2.6250 4.8617 0.0464
-1.0449 -1.7960 5.9549
ATOMIC_POSITIONS angstrom
K 4.1100 0.9435 0.0464
K -1.2112 4.0392 0.0464
Ir -0.5224 -0.8980 2.9774
Pd -0.4170 2.3752 3.0238
Pd 2.2709 0.8115 3.0238
O 1.4499 2.4922 4.0140
O -1.4320 0.6300 3.9790
O 0.4041 0.6945 2.0336
O 1.2555 -0.9335 3.9790
O 3.2860 2.5567 2.0686
O 0.5985 4.1202 2.0686
! Formation energy (no corrections) (eV per atom): -0.815

Record 5
! Rb3I6N | Alexandria | GGA-PBE | relaxed; values from VASP
&SYSTEM
  ibrav = 0, nat = 10, ntyp = 3
/
ATOMIC_SPECIES
I 126.90 I.upf
Rb 85.47 Rb.upf
N 14.01 N.upf
CELL_PARAMETERS angstrom
-2.4403 3.0873 -7.5877
6.7753 -3.6893 -3.6802
-1.0884 -5.2972 -6.6197
ATOMIC_POSITIONS angstrom
I 0.7688 -2.4473 -6.0574
I 2.4778 -3.4519 -11.8301
I 1.2365 -0.1717 -3.2141
I 3.0985 -0.4303 -8.0538
I 0.1884 1.1543 -6.4731
I 4.1466 -1.7563 -4.7948
Rb -0.6806 -1.2554 -9.9206
Rb 3.9272 -4.6437 -7.9669
Rb 0.0000 0.0000 0.0000
N 2.1675 -0.3010 -5.6339
! Formation energy (no corrections) (eV per atom): -0.328